20
Lattice="6.4193 3.7062 2.3790 -6.4193 3.7062 2.3790 0.0000 -7.4123 2.3790" Properties=species:S:1:pos:R:3 comment="Sr3TlV4O12, optimized geometry, DFT PBE+U" sg="No. 155" e_tot_ev_per_cell=-135.96 crystal_system=trigonal pbc="T T T"
Sr -3.6093 -1.1608 2.3790
Sr 2.8100 -2.5453 2.3790
Sr 0.7993 3.7062 2.3790
Tl 0.0000 0.0000 0.0000
V -2.7085 -4.6912 3.5685
V 0.0000 0.0000 3.5685
V -2.7085 4.6912 3.5685
V 5.4169 0.0000 3.5685
O -5.6654 0.0000 3.5685
O -3.3118 -3.0047 3.7976
O -0.9462 -4.3705 3.3395
O -3.3118 3.0047 3.3395
O -1.7279 0.0000 3.5686
O 2.8327 -4.9064 3.5685
O 0.8639 -1.4964 3.5685
O 0.8639 1.4964 3.5685
O -0.9463 4.3705 3.7976
O 4.2581 -1.3658 3.7976
O 4.2581 1.3658 3.3395
O 2.8327 4.9064 3.5685